! Mg5Bi, single point on PBEsol structure, DFT meta-GGA SCAN; values from VASP
! * size of the total moment: 0.01 μB per cell
! * total DFT energy (no corrections): -17.302 eV per atom
&SYSTEM
  ibrav = 0, nat = 6, ntyp = 2
/
ATOMIC_SPECIES
Mg 24.30 Mg.upf
Bi 208.98 Bi.upf
ATOMIC_POSITIONS crystal
Mg 0.331 0.669 0.000
Mg 0.170 0.170 0.490
Mg 0.830 0.830 0.510
Mg 0.000 0.331 0.000
Mg 0.669 0.000 0.000
Bi 0.500 0.500 0.500
CELL_PARAMETERS angstrom
5.537 0.000 0.000
2.768 4.795 0.000
2.768 1.598 5.371